DFT (PBE) results for an optimized crystal structure of LiSbTe.

Results
**E above lowest polymorph**: 213 meV per atom
**Total energy**: -3.310 eV/atom
**Raw formation energy**: -0.251 eV/atom
**Size of the total moment**: 0.000 μB/f.u.
**D(E_F)**: 2.84 states/eV per cell

a = 3.098 Å, b = 3.098 Å, c = 17.171 Å
α = 90.00°, β = 90.00°, γ = 90.00°
Space group I4mm (No. 107)
Symmetry-distinct sites (fractional):
Li 0.000 0.000 0.000 (multiplicity 2)
Sb 0.000 0.000 0.631 (multiplicity 2)
Te 0.000 0.000 0.373 (multiplicity 2)